[1]
Here is an optimized crystal structure of ZrTe2Pb from the Alexandria database. Energies are from PBE.

Values from the calculation:
ΔE_f (raw)	-0.537	eV/atom
Fermi-level density of states	2.4	states/eV/f.u.

Unit cell a=3.6704 b=3.6546 c=7.9883 alpha=90.00 beta=90.04 gamma=90.00
Space group P2/m (No. 10)
One atom of each set of equivalent atoms:
Zr 0.0000 0.0000 0.0000 (multiplicity 1)
Te 0.4979 0.5000 0.7922 (multiplicity 2)
Pb 0.0000 0.0000 0.5000 (multiplicity 1)

***

[2]
Here is an optimized crystal structure of Sm3PbSN from the Alexandria database. Energies are from PBE.

Values from the calculation:
ΔE_f (raw)	-1.243	eV/atom
Fermi-level density of states	1.6	states/eV/f.u.

Unit cell a=8.8901 b=4.0745 c=9.4174 alpha=90.00 beta=104.22 gamma=90.00
Space group P2_1/m (No. 11)
One atom of each set of equivalent atoms:
Sm 0.0619 0.2500 0.3397 (multiplicity 2)
Sm 0.3391 0.2500 0.9827 (multiplicity 2)
Sm 0.3885 0.7500 0.6537 (multiplicity 2)
Pb 0.3101 0.7500 0.2789 (multiplicity 2)
S 0.1538 0.2500 0.6444 (multiplicity 2)
N 0.4057 0.7500 0.8929 (multiplicity 2)

***

[3]
Here is an optimized crystal structure of Ac3Cu4 from the Alexandria database. Energies are from PBE.

Values from the calculation:
formation energy	-106	meV/atom
Fermi-level density of states	5.1	states/eV/f.u.

Unit cell a=14.0689 b=4.5121 c=10.9127 alpha=90.00 beta=90.00 gamma=90.00
Space group Amm2 (No. 38)
One atom of each set of equivalent atoms:
Ac 0.0000 0.0000 0.0000 (multiplicity 2)
Ac 0.1478 0.0000 0.2846 (multiplicity 4)
Ac 0.3521 0.0000 0.7411 (multiplicity 4)
Ac 0.5000 0.0000 0.0255 (multiplicity 2)
Cu 0.0000 0.0000 0.6964 (multiplicity 2)
Cu 0.1672 0.0000 0.5723 (multiplicity 4)
Cu 0.2504 0.0000 0.0137 (multiplicity 4)
Cu 0.3329 0.0000 0.4534 (multiplicity 4)
Cu 0.5000 0.0000 0.3290 (multiplicity 2)

***

[4]
Here is an optimized crystal structure of Pr6Ge2BiI3 from the Alexandria database. Energies are from PBE.

Values from the calculation:
ΔE_f (raw)	-1.010	eV/atom
Fermi-level density of states	3.9	states/eV/f.u.

Unit cell a=20.1158 b=4.4740 c=9.2842 alpha=90.00 beta=105.53 gamma=90.00
Space group C2/m (No. 12)
One atom of each set of equivalent atoms:
Pr 0.0206 0.0000 0.2513 (multiplicity 4)
Pr 0.1679 0.5000 0.1331 (multiplicity 4)
Pr 0.1774 0.5000 0.5601 (multiplicity 4)
Ge 0.1696 0.0000 0.3406 (multiplicity 4)
Bi 0.0000 0.5000 0.0000 (multiplicity 2)
I 0.0000 0.5000 0.5000 (multiplicity 2)
I 0.1631 0.0000 0.8355 (multiplicity 4)

***

[5]
Here is an optimized crystal structure of InPb2Au from the Alexandria database. Energies are from PBE.

Values from the calculation:
formation energy	5	meV/atom
Fermi-level density of states	1.6	states/eV/f.u.

Unit cell a=3.7827 b=3.7827 c=27.2335 alpha=90.00 beta=90.00 gamma=120.00
Space group R-3m (No. 166, hexagonal axes)
One atom of each set of equivalent atoms:
In 0.0000 0.0000 0.0000 (multiplicity 3)
Pb 0.0000 0.0000 0.2407 (multiplicity 6)
Au 0.0000 0.0000 0.5000 (multiplicity 3)

***

[6]
Here is an optimized crystal structure of CsAlGe2 from the Alexandria database. Energies are from PBE.

Values from the calculation:
formation energy	13	meV/atom
Fermi-level density of states	1.4	states/eV/f.u.

Unit cell a=3.6263 b=3.6263 c=7.9815 alpha=90.00 beta=90.00 gamma=90.00
Space group P4/mmm (No. 123)
One atom of each set of equivalent atoms:
Cs 0.0000 0.0000 0.0000 (multiplicity 1)
Al 0.0000 0.0000 0.5000 (multiplicity 1)
Ge 0.5000 0.5000 0.3422 (multiplicity 2)

***

[7]
Here is an optimized crystal structure of TbTl2Pd from the Alexandria database. Energies are from PBE.

Values from the calculation:
formation energy	-435	meV/atom
Fermi-level density of states	2.4	states/eV/f.u.

Unit cell a=4.8405 b=4.8405 c=16.3246 alpha=90.00 beta=90.00 gamma=90.00
Space group I4/mmm (No. 139)
One atom of each set of equivalent atoms:
Tb 0.0000 0.0000 0.1415 (multiplicity 4)
Tl 0.0000 0.0000 0.3496 (multiplicity 4)
Tl 0.0000 0.5000 0.0000 (multiplicity 4)
Pd 0.0000 0.5000 0.2500 (multiplicity 4)

***

[8]
Here is an optimized crystal structure of KLi2VCl8 from the Alexandria database. Energies are from PBE.

Values from the calculation:
ΔE_f (raw)	-1.367	eV/atom

Unit cell a=5.9889 b=7.1557 c=8.6340 alpha=70.03 beta=82.27 gamma=85.54
Space group P-1 (No. 2)
One atom of each set of equivalent atoms:
K 0.0000 0.0000 0.0000 (multiplicity 1)
Li 0.4783 0.5259 0.8286 (multiplicity 2)
V 0.0000 0.5000 0.5000 (multiplicity 1)
Cl 0.0972 0.4786 0.7575 (multiplicity 2)
Cl 0.1768 0.7872 0.3820 (multiplicity 2)
Cl 0.3234 0.3261 0.4524 (multiplicity 2)
Cl 0.4574 0.7650 0.9554 (multiplicity 2)

***

[9]
Here is an optimized crystal structure of Nd4ZnSCl2 from the Alexandria database. Energies are from PBE.

Values from the calculation:
ΔE_f (raw)	-1.280	eV/atom
Fermi-level density of states	4.7	states/eV/f.u.

Unit cell a=7.1103 b=4.0708 c=7.5172 alpha=90.00 beta=108.90 gamma=90.00
Space group P2/m (No. 10)
One atom of each set of equivalent atoms:
Nd 0.2319 0.0000 0.2220 (multiplicity 2)
Nd 0.2443 0.5000 0.7673 (multiplicity 2)
Zn 0.5000 0.0000 0.0000 (multiplicity 1)
S 0.0000 0.5000 0.0000 (multiplicity 1)
Cl 0.0000 0.0000 0.5000 (multiplicity 1)
Cl 0.5000 0.5000 0.5000 (multiplicity 1)

***

[10]
Here is an optimized crystal structure of LaPuGa2Pt2 from the Alexandria database. Energies are from PBE.

Values from the calculation:
formation energy	-896	meV/atom
Fermi-level density of states	11.2	states/eV/f.u.

Unit cell a=4.5050 b=4.5050 c=7.3424 alpha=90.00 beta=90.00 gamma=120.00
Space group P-3m1 (No. 164)
One atom of each set of equivalent atoms:
La 0.0000 0.0000 0.0000 (multiplicity 1)
Pu 0.0000 0.0000 0.5000 (multiplicity 1)
Ga 0.3333 0.6667 0.2718 (multiplicity 2)
Pt 0.3333 0.6667 0.7279 (multiplicity 2)

***

no.,raw total energy (eV/cell)
1,-20.687
2,-75.555
3,-117.801
4,-117.129
5,-40.241
6,-13.777
7,-65.185
8,-45.222
9,-38.403
10,-42.769